Model 1:
LaCuRe2: optimized geometry, GGA-PBE.

Summary:
Total magnetization: 0.0 Bohr magnetons per cell

Structure (CIF):
```
data_LaCuRe2
_chemical_formula_sum 'La1 Cu1 Re2'
_cell_length_a 3.135
_cell_length_b 3.135
_cell_length_c 7.510
_cell_angle_alpha 90.00
_cell_angle_beta 90.00
_cell_angle_gamma 90.00
_symmetry_space_group_name_H-M 'P 4 m m'
_symmetry_Int_Tables_number 99
_symmetry_space_group_name_Hall 'P 4 -2'
loop_
_atom_site_label
_atom_site_type_symbol
_atom_site_fract_x
_atom_site_fract_y
_atom_site_fract_z
La1 La 0.000 0.000 0.000
Cu1 Cu 0.500 0.500 0.691
Re1 Re 0.000 0.000 0.490
Re2 Re 0.500 0.500 0.308
```



Model 2:
LaCuRe2: optimized geometry, GGA-PBE.

Summary:
Total magnetization: 0.0 Bohr magnetons per cell

Structure (CIF):
```
data_LaCuRe2
_chemical_formula_sum 'La1 Cu1 Re2'
_cell_length_a 3.052
_cell_length_b 4.276
_cell_length_c 5.904
_cell_angle_alpha 90.00
_cell_angle_beta 101.30
_cell_angle_gamma 90.00
_symmetry_space_group_name_H-M 'P 1 m 1'
_symmetry_Int_Tables_number 6
_symmetry_space_group_name_Hall 'P -2y'
loop_
_atom_site_label
_atom_site_type_symbol
_atom_site_fract_x
_atom_site_fract_y
_atom_site_fract_z
La1 La 0.000 0.000 0.000
Cu1 Cu 0.403 0.500 0.758
Re1 Re 0.362 0.000 0.484
Re2 Re 0.744 0.500 0.386
```



Computed energies relative to the best structure, in kJ/mol of atoms: model 1 0.0; model 2 16.0



Model 1:
CaHf2Os2: optimized geometry, GGA-PBE.

Summary:
Total magnetization: 0.0 Bohr magnetons per cell

Structure (CIF):
```
data_CaHf2Os2
_chemical_formula_sum 'Ca2 Hf4 Os4'
_cell_length_a 7.912
_cell_length_b 7.912
_cell_length_c 3.191
_cell_angle_alpha 90.00
_cell_angle_beta 90.00
_cell_angle_gamma 90.00
_symmetry_space_group_name_H-M 'P 4/m b m'
_symmetry_Int_Tables_number 127
_symmetry_space_group_name_Hall '-P 4 2ab'
loop_
_atom_site_label
_atom_site_type_symbol
_atom_site_fract_x
_atom_site_fract_y
_atom_site_fract_z
Ca1 Ca 0.000 0.000 0.000
Hf1 Hf 0.144 0.356 0.500
Os1 Os 0.145 0.645 0.000
```



Model 2:
CaHf2Os2: optimized geometry, GGA-PBE.

Summary:
Total magnetization: 0.0 Bohr magnetons per cell

Structure (CIF):
```
data_CaHf2Os2
_chemical_formula_sum 'Ca2 Hf4 Os4'
_cell_length_a 4.404
_cell_length_b 4.404
_cell_length_c 11.388
_cell_angle_alpha 90.00
_cell_angle_beta 90.00
_cell_angle_gamma 90.00
_symmetry_space_group_name_H-M 'I 4/m m m'
_symmetry_Int_Tables_number 139
_symmetry_space_group_name_Hall '-I 4 2'
loop_
_atom_site_label
_atom_site_type_symbol
_atom_site_fract_x
_atom_site_fract_y
_atom_site_fract_z
Ca1 Ca 0.000 0.000 0.000
Hf1 Hf 0.000 0.500 0.250
Os1 Os 0.000 0.000 0.389
```



Computed energies relative to the best structure, in kJ/mol of atoms: model 1 2.2; model 2 0.0



Model 1:
NaMg6C: optimized geometry, GGA-PBE.

Summary:
Total magnetization: 0.0 Bohr magnetons per cell

Structure (CIF):
```
data_NaMg6C
_chemical_formula_sum 'Na2 Mg12 C2'
_cell_length_a 3.259
_cell_length_b 5.858
_cell_length_c 20.706
_cell_angle_alpha 90.00
_cell_angle_beta 90.00
_cell_angle_gamma 90.00
_symmetry_space_group_name_H-M 'A m m 2'
_symmetry_Int_Tables_number 38
_symmetry_space_group_name_Hall 'A 2 -2'
loop_
_atom_site_label
_atom_site_type_symbol
_atom_site_fract_x
_atom_site_fract_y
_atom_site_fract_z
Na1 Na 0.000 0.000 0.000
Mg1 Mg 0.000 0.243 0.249
Mg2 Mg 0.500 0.000 0.139
Mg3 Mg 0.500 0.000 0.633
Mg4 Mg 0.500 0.238 0.370
C1 C 0.000 0.000 0.336
```



Model 2:
NaMg6C: optimized geometry, GGA-PBE.

Summary:
Total magnetization: 0.0 Bohr magnetons per cell

Structure (CIF):
```
data_NaMg6C
_chemical_formula_sum 'Na2 Mg12 C2'
_cell_length_a 3.295
_cell_length_b 8.156
_cell_length_c 13.236
_cell_angle_alpha 90.00
_cell_angle_beta 90.00
_cell_angle_gamma 90.00
_symmetry_space_group_name_H-M 'A m m 2'
_symmetry_Int_Tables_number 38
_symmetry_space_group_name_Hall 'A 2 -2'
loop_
_atom_site_label
_atom_site_type_symbol
_atom_site_fract_x
_atom_site_fract_y
_atom_site_fract_z
Na1 Na 0.000 0.000 0.000
Mg1 Mg 0.000 0.000 0.583
Mg2 Mg 0.000 0.173 0.222
Mg3 Mg 0.500 0.000 0.782
Mg4 Mg 0.500 0.174 0.409
C1 C 0.500 0.000 0.267
```



Computed energies relative to the best structure, in kJ/mol of atoms: model 1 3.4; model 2 0.0